[1]
# SrMgN2F, optimized geometry, DFT PBE
data_SrMgN2F
_chemical_formula_sum 'Sr1 Mg1 N2 F1'
_space_group_name_H-M_alt 'P 4/m m m'
_space_group_IT_number 123
_space_group_name_Hall '-P 4 2'
_cell_length_a 4.463
_cell_length_b 4.463
_cell_length_c 4.502
_cell_angle_alpha 90.00
_cell_angle_beta 90.00
_cell_angle_gamma 90.00
loop_
_atom_site_label
_atom_site_type_symbol
_atom_site_fract_x
_atom_site_fract_y
_atom_site_fract_z
Sr1 Sr 0.000 0.000 0.000
Mg1 Mg 0.500 0.500 0.500
N1 N 0.000 0.500 0.000
F1 F 0.000 0.000 0.500
# **N(E_F)**: 0.331 states/eV per atom
# **Raw total energy**: -3.948 eV/atom
# **Polymorph energy (0 for the lowest one)**: 1.081 eV/atom
# **E_form (uncorrected)**: 0.41 eV/atom


[2]
# Tl4I4N3, optimized geometry, DFT PBE
data_Tl4I4N3
_chemical_formula_sum 'Tl8 I8 N6'
_space_group_name_H-M_alt 'A m m 2'
_space_group_IT_number 38
_cell_length_a 12.582
_cell_length_b 7.215
_cell_length_c 8.489
_cell_angle_alpha 90.00
_cell_angle_beta 90.00
_cell_angle_gamma 90.00
loop_
_space_group_symop_operation_xyz
'x,y,z'
'-x,-y,z'
'-x,y,z'
'x,-y,z'
'x,y+1/2,z+1/2'
'-x,-y+1/2,z+1/2'
'-x,y+1/2,z+1/2'
'x,-y+1/2,z+1/2'
loop_
_atom_site_label
_atom_site_type_symbol
_atom_site_fract_x
_atom_site_fract_y
_atom_site_fract_z
Tl1 Tl 0.000 0.000 0.000
Tl2 Tl 0.238 0.000 0.731
Tl3 Tl 0.500 0.000 0.996
I1 I 0.000 0.000 0.484
I2 I 0.258 0.000 0.201
I3 I 0.500 0.000 0.618
N1 N 0.000 0.000 0.722
N2 N 0.334 0.000 0.985
# **N(E_F)**: 0.469 states/eV per atom
# **Raw total energy**: -3.082 eV/atom
# **E_form (uncorrected)**: 0.61 eV/atom


[3]
# PmPrNd3Ho, optimized geometry, DFT PBE
data_PmPrNd3Ho
_chemical_formula_sum 'Pm4 Pr4 Nd12 Ho4'
_space_group_name_H-M_alt 'C 1 2/m 1'
_space_group_IT_number 12
_cell_length_a 20.657
_cell_length_b 5.860
_cell_length_c 6.906
_cell_angle_alpha 90.00
_cell_angle_beta 90.77
_cell_angle_gamma 90.00
loop_
_space_group_symop_operation_xyz
'x,y,z'
'-x,-y,-z'
'-x,y,-z'
'x,-y,z'
'x+1/2,y+1/2,z'
'-x+1/2,-y+1/2,-z'
'-x+1/2,y+1/2,-z'
'x+1/2,-y+1/2,z'
loop_
_atom_site_label
_atom_site_type_symbol
_atom_site_fract_x
_atom_site_fract_y
_atom_site_fract_z
Pm1 Pm 0.057 0.000 0.263
Pr1 Pr 0.147 0.500 0.025
Nd1 Nd 0.018 0.500 0.749
Nd2 Nd 0.162 0.000 0.748
Nd3 Nd 0.219 0.000 0.262
Ho1 Ho 0.144 0.500 0.476
# **N(E_F)**: 1.415 states/eV per atom
# **Raw total energy**: -4.570 eV/atom
# **Energy relative to the elements**: 0.16 eV per atom